[1]
Computed, not measured: a relaxed BaAcS2F crystal at the PBE-GGA level of DFT.

E_tot, eV per atom: -5.8206
ΔE_f (raw), eV/atom: -2.5891
Calculated density, g/cm3: 5.28

a = 4.315 Å, b = 4.315 Å, c = 15.110 Å
α = 90.00°, β = 90.00°, γ = 90.00°
Space group P4/nmm (No. 129, origin choice 2)
Inequivalent atoms, fractional coordinates:
Ba: 0.250 0.250 0.104 [2 per cell]
Ac: 0.250 0.250 0.624 [2 per cell]
S: 0.250 0.250 0.409 [2 per cell]
S: 0.250 0.250 0.803 [2 per cell]
F: 0.250 0.750 0.000 [2 per cell]

=====

[2]
Computed, not measured: a relaxed IrPt5 crystal at the PBE-GGA level of DFT.

E_tot, eV per atom: -6.4460
Calculated density, g/cm3: 20.58
Calculated formation energy, meV/atom: 65

a = 4.796 Å, b = 14.435 Å, c = 2.722 Å
α = 90.00°, β = 90.00°, γ = 90.00°
Space group Cmmm (No. 65)
Inequivalent atoms, fractional coordinates:
Ir: 0.000 0.000 0.000 [2 per cell]
Pt: 0.000 0.163 0.500 [4 per cell]
Pt: 0.000 0.331 0.000 [4 per cell]
Pt: 0.000 0.500 0.500 [2 per cell]

=====

[3]
Computed, not measured: a relaxed BeSiPt2 crystal at the PBE-GGA level of DFT.

E_tot, eV per atom: -5.7639
ΔE_f (raw), eV/atom: -0.4562
Calculated density, g/cm3: 13.41

a = 3.101 Å, b = 3.111 Å, c = 5.486 Å
α = 90.00°, β = 90.00°, γ = 90.00°
Space group Pmmm (No. 47)
Inequivalent atoms, fractional coordinates:
Be: 0.000 0.000 0.000 [1 per cell]
Si: 0.000 0.000 0.500 [1 per cell]
Pt: 0.500 0.500 0.245 [2 per cell]